Version A
Density functional theory data (PBE) for an optimized crystal structure of La4HgAu.

Summary:
* magnetic moment: 0.00 μB per atom
* space group: P2_1/c (14)
* crystal system: monoclinic

a b c (Å): 7.558 8.012 7.152
angles (deg): 90.00 95.12 90.00
Fractional positions:
1 La 0.153 0.152 0.394
2 La 0.153 0.348 0.894
3 La 0.339 0.665 0.328
4 La 0.339 0.835 0.828
5 La 0.661 0.165 0.172
6 La 0.661 0.335 0.672
7 La 0.847 0.652 0.106
8 La 0.847 0.848 0.606
9 Hg 0.000 0.000 0.000
10 Hg 0.000 0.500 0.500
11 Au 0.500 0.000 0.500
12 Au 0.500 0.500 0.000

=====

Version B
Density functional theory data (PBE) for an optimized crystal structure of La4HgAu.

Summary:
* magnetic moment: 0.00 μB per atom
* space group: Pnma (62)
* crystal system: orthorhombic

a b c (Å): 8.866 5.168 16.754
angles (deg): 90.00 90.00 90.00
Fractional positions:
1 La 0.013 0.250 0.075
2 La 0.079 0.250 0.790
3 La 0.092 0.250 0.351
4 La 0.184 0.250 0.576
5 La 0.316 0.750 0.076
6 La 0.408 0.750 0.851
7 La 0.421 0.750 0.290
8 La 0.487 0.750 0.575
9 La 0.513 0.250 0.425
10 La 0.579 0.250 0.710
11 La 0.592 0.250 0.149
12 La 0.684 0.250 0.924
13 La 0.816 0.750 0.424
14 La 0.908 0.750 0.649
15 La 0.921 0.750 0.210
16 La 0.987 0.750 0.925
17 Hg 0.208 0.750 0.449
18 Hg 0.292 0.250 0.949
19 Hg 0.708 0.750 0.051
20 Hg 0.792 0.250 0.551
21 Au 0.233 0.750 0.701
22 Au 0.267 0.250 0.201
23 Au 0.733 0.750 0.799
24 Au 0.767 0.250 0.299

=====

Version C
Density functional theory data (PBE) for an optimized crystal structure of La4HgAu.

Summary:
* magnetic moment: 0.00 μB per atom
* space group: F-43m (216)
* crystal system: cubic

a b c (Å): 6.388 6.388 6.388
angles (deg): 60.00 60.00 60.00
Fractional positions:
1 La 0.125 0.125 0.125
2 La 0.125 0.125 0.625
3 La 0.125 0.625 0.125
4 La 0.625 0.125 0.125
5 Hg 0.500 0.500 0.500
6 Au 0.750 0.750 0.750

=====

Energetically preferred structure: version B | next structure: +14.6 kJ/mol of atoms

=====

Version A
Density functional theory data (PBE) for an optimized crystal structure of LaHg4Au.

Summary:
* magnetic moment: 0.00 μB per atom
* space group: Cmc2_1 (36)
* crystal system: orthorhombic

a b c (Å): 8.782 8.782 7.172
angles (deg): 90.00 90.00 146.12
Fractional positions:
1 La 0.174 0.826 0.500
2 La 0.826 0.174 0.000
3 Hg 0.012 0.988 0.814
4 Hg 0.193 0.807 0.974
5 Hg 0.358 0.642 0.687
6 Hg 0.470 0.530 0.039
7 Hg 0.530 0.470 0.539
8 Hg 0.642 0.358 0.187
9 Hg 0.807 0.193 0.474
10 Hg 0.988 0.012 0.314
11 Au 0.326 0.674 0.263
12 Au 0.674 0.326 0.763

=====

Version B
Density functional theory data (PBE) for an optimized crystal structure of LaHg4Au.

Summary:
* magnetic moment: 0.00 μB per atom
* space group: F-43m (216)
* crystal system: cubic

a b c (Å): 5.986 5.986 5.986
angles (deg): 60.00 60.00 60.00
Fractional positions:
1 La 0.000 0.000 0.000
2 Hg 0.376 0.376 0.376
3 Hg 0.376 0.376 0.873
4 Hg 0.376 0.873 0.376
5 Hg 0.873 0.376 0.376
6 Au 0.750 0.750 0.750

=====

Energetically preferred structure: version A | next structure: +17.3 kJ/mol of atoms

=====

Version A
Density functional theory data (PBE) for an optimized crystal structure of La4HgAu2.

Summary:
* magnetic moment: 0.00 μB per atom
* space group: R-3m (166)
* crystal system: trigonal

a b c (Å): 10.267 10.267 10.267
angles (deg): 29.08 29.08 29.08
Fractional positions:
1 La 0.120 0.120 0.120
2 La 0.293 0.293 0.293
3 La 0.707 0.707 0.707
4 La 0.880 0.880 0.880
5 Hg 0.500 0.500 0.500
6 Au 0.397 0.397 0.397
7 Au 0.603 0.603 0.603

=====

Version B
Density functional theory data (PBE) for an optimized crystal structure of La4HgAu2.

Summary:
* magnetic moment: 0.06 μB per atom
* space group: R-3m (166)
* crystal system: trigonal

a b c (Å): 9.133 9.133 9.133
angles (deg): 34.12 34.12 34.12
Fractional positions:
1 La 0.119 0.119 0.119
2 La 0.371 0.371 0.371
3 La 0.629 0.629 0.629
4 La 0.881 0.881 0.881
5 Hg 0.500 0.500 0.500
6 Au 0.250 0.250 0.250
7 Au 0.750 0.750 0.750

=====

Energetically preferred structure: version B | next structure: +6.6 kJ/mol of atoms

=====

Version A
Density functional theory data (PBE) for an optimized crystal structure of LaNdHgAu.

Summary:
* magnetic moment: 0.00 μB per atom
* space group: P4mm (99)
* crystal system: tetragonal

a b c (Å): 3.810 3.810 7.635
angles (deg): 90.00 90.00 90.00
Fractional positions:
1 La 0.000 0.000 0.000
2 Nd 0.000 0.000 0.525
3 Hg 0.500 0.500 0.270
4 Au 0.500 0.500 0.753

=====

Version B
Density functional theory data (PBE) for an optimized crystal structure of LaNdHgAu.

Summary:
* magnetic moment: 0.00 μB per atom
* space group: F-43m (216)
* crystal system: cubic

a b c (Å): 7.626 7.626 7.626
angles (deg): 90.00 90.00 90.00
Fractional positions:
1 La 0.000 0.000 0.000
2 La 0.000 0.500 0.500
3 La 0.500 0.000 0.500
4 La 0.500 0.500 0.000
5 Nd 0.000 0.000 0.500
6 Nd 0.000 0.500 0.000
7 Nd 0.500 0.000 0.000
8 Nd 0.500 0.500 0.500
9 Hg 0.250 0.250 0.250
10 Hg 0.250 0.750 0.750
11 Hg 0.750 0.250 0.750
12 Hg 0.750 0.750 0.250
13 Au 0.250 0.250 0.750
14 Au 0.250 0.750 0.250
15 Au 0.750 0.250 0.250
16 Au 0.750 0.750 0.750

=====

Energetically preferred structure: version A | next structure: +1.7 kJ/mol of atoms

=====

Version A
Density functional theory data (PBE) for an optimized crystal structure of LaPrHgAu.

Summary:
* magnetic moment: 0.00 μB per atom
* space group: F-43m (216)
* crystal system: cubic

a b c (Å): 7.653 7.653 7.653
angles (deg): 90.00 90.00 90.00
Fractional positions:
1 La 0.000 0.000 0.000
2 La 0.000 0.500 0.500
3 La 0.500 0.000 0.500
4 La 0.500 0.500 0.000
5 Pr 0.000 0.000 0.500
6 Pr 0.000 0.500 0.000
7 Pr 0.500 0.000 0.000
8 Pr 0.500 0.500 0.500
9 Hg 0.250 0.250 0.250
10 Hg 0.250 0.750 0.750
11 Hg 0.750 0.250 0.750
12 Hg 0.750 0.750 0.250
13 Au 0.250 0.250 0.750
14 Au 0.250 0.750 0.250
15 Au 0.750 0.250 0.250
16 Au 0.750 0.750 0.750

=====

Version B
Density functional theory data (PBE) for an optimized crystal structure of LaPrHgAu.

Summary:
* magnetic moment: 0.00 μB per atom
* space group: P4mm (99)
* crystal system: tetragonal

a b c (Å): 3.826 3.826 7.651
angles (deg): 90.00 90.00 90.00
Fractional positions:
1 La 0.000 0.000 0.000
2 Pr 0.000 0.000 0.526
3 Hg 0.500 0.500 0.267
4 Au 0.500 0.500 0.759

=====

Energetically preferred structure: version B | next structure: +1.5 kJ/mol of atoms

=====

Version A
Density functional theory data (PBE) for an optimized crystal structure of LaPuHgAu.

Summary:
* magnetic moment: 1.41 μB per atom
* space group: P4mm (99)
* crystal system: tetragonal

a b c (Å): 3.745 3.745 7.655
angles (deg): 90.00 90.00 90.00
Fractional positions:
1 La 0.000 0.000 0.000
2 Pu 0.000 0.000 0.470
3 Hg 0.500 0.500 0.724
4 Au 0.500 0.500 0.242

=====

Version B
Density functional theory data (PBE) for an optimized crystal structure of LaPuHgAu.

Summary:
* magnetic moment: 1.52 μB per atom
* space group: F-43m (216)
* crystal system: cubic

a b c (Å): 7.559 7.559 7.559
angles (deg): 90.00 90.00 90.00
Fractional positions:
1 La 0.000 0.000 0.000
2 La 0.000 0.500 0.500
3 La 0.500 0.000 0.500
4 La 0.500 0.500 0.000
5 Pu 0.000 0.000 0.500
6 Pu 0.000 0.500 0.000
7 Pu 0.500 0.000 0.000
8 Pu 0.500 0.500 0.500
9 Hg 0.250 0.250 0.250
10 Hg 0.250 0.750 0.750
11 Hg 0.750 0.250 0.750
12 Hg 0.750 0.750 0.250
13 Au 0.250 0.250 0.750
14 Au 0.250 0.750 0.250
15 Au 0.750 0.250 0.250
16 Au 0.750 0.750 0.750

=====

Energetically preferred structure: version A | next structure: +3.4 kJ/mol of atoms